Entry 1:
Material: PmZnH6Ir2
Method: DFT, PBE
State: optimized geometry

Cell and atoms, written as POSCAR:
```
PmZnH6Ir2
1.0
4.5288 0.0000 0.0000
2.2644 3.9221 0.0000
2.2644 1.3074 5.3200
Pm Zn H Ir
1 1 6 2
direct
0.0000 0.0000 0.0000
0.5000 0.5000 0.5000
0.0555 0.5622 0.8200
0.5623 0.0555 0.8200
0.4378 0.4377 0.1800
0.9445 0.4378 0.1800
0.4377 0.9445 0.1800
0.5622 0.5623 0.8200
0.7910 0.7910 0.6270
0.2090 0.2090 0.3730
```

Calculated values
Total magnetic moment, μB/cell: 0.0
Symmetry: R-3m, No. 166

Entry 2:
Material: CdIn2Re
Method: DFT, PBE
State: optimized geometry

Cell and atoms, written as POSCAR:
```
CdIn2Re
1.0
5.4448 0.0004 0.0000
2.3107 4.9302 0.0000
-3.8778 -2.4653 2.9208
Re Cd In
1 1 2
direct
0.5000 0.5000 0.0000
0.7500 0.2500 0.5000
0.0000 0.0000 0.0000
0.2500 0.7500 0.5000
```

Calculated values
Total magnetic moment, μB/cell: 0.9
Symmetry: I-4m2, No. 119

Entry 3:
Material: DyBeSi2Ir
Method: DFT, PBE
State: optimized geometry

Cell and atoms, written as POSCAR:
```
DyBeSi2Ir
1.0
-2.6622 2.5930 -1.1483
-0.9013 -2.2670 -3.0296
-1.7869 -2.5618 4.9457
Dy Be Si Ir
1 1 2 1
direct
0.0000 0.0000 0.0000
0.7500 0.2500 0.5000
0.6162 0.6162 0.2325
0.3838 0.3838 0.7675
0.2500 0.7500 0.5000
```

Calculated values
Total magnetic moment, μB/cell: 0.0
E_form (uncorrected), meV/atom: -764
Symmetry: I-4m2, No. 119

Entry 4:
Material: UMn4Sn
Method: DFT, PBE
State: optimized geometry

Cell and atoms, written as POSCAR:
```
UMn4Sn
1.0
5.0463 0.0000 0.0000
2.5231 4.3702 0.0000
2.5231 1.4567 4.1203
Mn U Sn
4 1 1
direct
0.6245 0.6245 0.1264
0.6245 0.1264 0.6245
0.6245 0.6245 0.6245
0.1264 0.6245 0.6245
0.2500 0.2500 0.2500
0.0000 0.0000 0.0000
```

Calculated values
Total magnetic moment, μB/cell: 7.4
Symmetry: F-43m, No. 216

Entry 5:
Material: K2YTe2O6
Method: DFT, PBE
State: optimized geometry

Cell and atoms, written as POSCAR:
```
K2YTe2O6
1.0
-6.0891 0.6675 3.1092
3.3655 -5.0197 0.0800
2.8005 4.6428 4.4878
K Y Te O
2 1 2 6
direct
0.6955 0.3909 0.1203
0.3045 0.6091 0.8797
0.5000 0.0000 0.5000
0.9303 0.8605 0.7539
0.0697 0.1395 0.2461
0.7401 0.4803 0.7582
0.3493 0.1362 0.3158
0.2130 0.8638 0.6842
0.6507 0.8638 0.6842
0.7870 0.1362 0.3158
0.2599 0.5197 0.2418
```

Calculated values
Total magnetic moment, μB/cell: 0.0
E_form (uncorrected), meV/atom: -1636
Symmetry: C2/m, No. 12

Entry 6:
Material: CaHf4S8
Method: DFT, PBE
State: optimized geometry

Cell and atoms, written as POSCAR:
```
CaHf4S8
1.0
-5.0883 4.3124 2.7551
-6.9279 -1.0227 -1.7428
-4.7089 -3.0895 5.5904
Ca Hf S
1 4 8
direct
0.5000 0.5000 0.5000
0.0000 0.5000 0.0000
0.5000 0.5000 0.0000
0.5000 0.0000 0.0000
0.0000 0.0000 0.0000
0.7440 0.2397 0.7765
0.7603 0.2560 0.2235
0.2560 0.7603 0.2235
0.7603 0.7603 0.2235
0.7389 0.7389 0.7833
0.2611 0.2611 0.2167
0.2397 0.2397 0.7765
0.2397 0.7440 0.7765
```

Calculated values
Total magnetic moment, μB/cell: 0.0
Offset from the most stable computed form, eV/atom: 0.000
E_form (uncorrected), meV/atom: -1684
Symmetry: R-3m, No. 166

Values of VASP energy, in order: -4.711, -4.202, -6.372, -8.496, -5.699, -7.440, all in eV per atom.